Li4Ti3VO8: optimized geometry, PBE+U.

Its density of states at the Fermi level is 7.26 states/eV per cell. The calculation puts the size of the total moment at 0.060 μB/atom. Its total energy is -7.407 eV/atom.

It has space group R-3m (No. 166, hexagonal axes), with a = 5.9083 Å, b = 5.9083 Å, c = 14.9089 Å, α = 90.00°, β = 90.00° and γ = 120.00°. The asymmetric unit holds Li at (0.0000, 0.0000, 0.0000), Li at (0.0000, 0.5000, 0.0000), Ti at (0.0000, 0.5000, 0.5000), V at (0.0000, 0.0000, 0.5000), O at (0.0000, 0.0000, 0.2456) and O at (0.0115, 0.5058, 0.7555).